Entry 1:
# Tm4SbTe2Pt

Crystalline Tm4SbTe2Pt at its relaxed geometry (GGA-PBE, Alexandria via LeMat-Bulk).

Computed properties:
The value obtained for the density of states at the Fermi level is 4.99 states/eV/cell. The formation energy without anion corrections comes out at -27.34 kcal/mol of atoms. As for the total magnetization: 0.00 μB/cell. Its space group is P2/m. As for the total energy: -43.817 eV for the cell shown.

abc: 4.206 7.376 7.587
angles: 108.89 90.00 90.00
Element x y z (fractional)
1 Tm 0.500 0.260 0.231
2 Tm 0.500 0.740 0.769
3 Tm 0.000 0.285 0.787
4 Tm 0.000 0.715 0.213
5 Sb 0.000 0.000 0.000
6 Te 0.500 0.000 0.500
7 Te 0.000 0.500 0.500
8 Pt 0.500 0.500 0.000

Entry 2:
# VSb2TePt

Crystalline VSb2TePt at its relaxed geometry (GGA-PBE, Alexandria via LeMat-Bulk).

Computed properties:
The value obtained for the density of states at the Fermi level is 2.74 states/eV/cell. The formation energy without anion corrections comes out at 13.03 kcal/mol of atoms. As for the total magnetization: 0.00 μB/cell. Its space group is P4/mmm. As for the energy above the most stable polymorph in this dataset: 0 meV per atom. As for the total energy: -23.721 eV for the cell shown.

abc: 5.034 5.034 4.983
angles: 90.00 90.00 90.00
Element x y z (fractional)
1 Sb 0.000 0.500 0.000
2 Sb 0.500 0.000 0.000
3 Te 0.000 0.000 0.500
4 Pt 0.500 0.500 0.500
5 V 0.000 0.000 0.000